The following is a PBE calculation of an optimized crystal structure of Dy2TlO, from the Alexandria database.

Structure (POSCAR):
```
Dy2TlO
1.0
1.780 1.028 7.680
-1.780 1.028 7.680
0.000 -2.056 7.680
Dy Tl O
2 1 1
direct
0.223 0.223 0.223 Dy
0.777 0.777 0.777 Dy
0.000 0.000 0.000 Tl
0.500 0.500 0.500 O
```

Properties
magnetization: 0.0 μB/cell
formation energy from raw total energies: -1555 meV per atom
calculated volume: 84.31 Å³ per cell
energy above the most stable polymorph in this dataset: 0 meV/atom
space group: R-3m (166)